(w)
A relaxed structure of NbB2W, computed with GGA-PBE.

symmetry: Amm2, No. 38
size of the total moment: 0.000 μB per atom

a b c (Å): 4.6057 4.6057 3.1414
angles (deg): 90.00 90.00 138.63
Positions (direct):
1 W 0.8566 0.1434 0.0000
2 B 0.4388 0.5612 0.5000
3 B 0.5582 0.4418 0.0000
4 Nb 0.1464 0.8536 0.5000

***

(x)
A relaxed structure of NbB2W, computed with GGA-PBE.

symmetry: I-42d, No. 122
size of the total moment: 0.000 μB per atom

a b c (Å): 4.9213 4.9213 6.0638
angles (deg): 66.06 66.06 90.00
Positions (direct):
1 B 0.8750 0.8917 0.7500
2 B 0.6417 0.1250 0.2500
3 B 0.1083 0.6250 0.2500
4 B 0.3750 0.3583 0.7500
5 Nb 0.5000 0.5000 0.0000
6 Nb 0.2500 0.7500 0.5000
7 W 0.7500 0.2500 0.5000
8 W 0.0000 0.0000 0.0000

***

(y)
A relaxed structure of NbB2W, computed with GGA-PBE.

symmetry: R-3m, No. 166
size of the total moment: 0.000 μB per atom

a b c (Å): 3.2091 3.2091 5.5741
angles (deg): 73.27 73.27 60.00
Positions (direct):
1 W 0.0000 0.0000 0.0000
2 B 0.7471 0.7471 0.7588
3 B 0.2529 0.2529 0.2412
4 Nb 0.5000 0.5000 0.5000

***

(z)
A relaxed structure of NbB2W, computed with GGA-PBE.

symmetry: Pmc2_1, No. 26
size of the total moment: 0.000 μB per atom

a b c (Å): 3.1382 4.6433 6.0591
angles (deg): 90.00 90.00 90.00
Positions (direct):
1 W 0.0000 0.8699 0.1769
2 W 0.0000 0.1301 0.6769
3 B 0.0000 0.3423 0.0317
4 B 0.5000 0.1430 0.9657
5 B 0.0000 0.6577 0.5317
6 B 0.5000 0.8570 0.4657
7 Nb 0.5000 0.3715 0.3258
8 Nb 0.5000 0.6285 0.8258

***

Q: Which of them is the least stable? A: (x).

***

(w)
A relaxed structure of NbZnB3, computed with GGA-PBE.

symmetry: Pm-3m, No. 221
size of the total moment: 0.000 μB per atom

a b c (Å): 3.8881 3.8881 3.8881
angles (deg): 90.00 90.00 90.00
Positions (direct):
1 B 0.5000 0.0000 0.0000
2 B 0.0000 0.5000 0.0000
3 B 0.0000 0.0000 0.5000
4 Zn 0.0000 0.0000 0.0000
5 Nb 0.5000 0.5000 0.5000

***

(x)
A relaxed structure of NbZnB3, computed with GGA-PBE.

symmetry: Pm-3m, No. 221
size of the total moment: 0.000 μB per atom

a b c (Å): 4.2667 4.2667 4.2667
angles (deg): 90.00 90.00 90.00
Positions (direct):
1 Nb 0.0000 0.0000 0.0000
2 B 0.5000 0.0000 0.0000
3 B 0.0000 0.5000 0.0000
4 B 0.0000 0.0000 0.5000
5 Zn 0.5000 0.5000 0.5000

***

Q: Which of them is the least stable? A: (w).

***

(w)
A relaxed structure of ZrNbB, computed with GGA-PBE.

symmetry: C2/m, No. 12
size of the total moment: 0.000 μB per atom

a b c (Å): 7.5633 3.2620 9.1405
angles (deg): 90.00 123.78 90.00
Positions (direct):
1 B 0.8928 0.0000 0.0149
2 B 0.8928 0.5000 0.5149
3 B 0.1072 0.0000 0.9851
4 B 0.1072 0.5000 0.4851
5 Nb 0.3916 0.0000 0.5722
6 Nb 0.6084 0.0000 0.4278
7 Nb 0.6084 0.5000 0.9278
8 Nb 0.3916 0.5000 0.0722
9 Zr 0.8470 0.0000 0.2794
10 Zr 0.1530 0.0000 0.7206
11 Zr 0.1530 0.5000 0.2206
12 Zr 0.8470 0.5000 0.7794

***

(x)
A relaxed structure of ZrNbB, computed with GGA-PBE.

symmetry: Cm, No. 8
size of the total moment: 0.000 μB per atom

a b c (Å): 6.8336 3.4456 9.3400
angles (deg): 90.00 123.95 90.00
Positions (direct):
1 B 0.5595 0.0000 0.3476
2 B 0.8251 0.0000 0.5637
3 B 0.8251 0.5000 0.0637
4 B 0.5595 0.5000 0.8476
5 Zr 0.1036 0.5000 0.7839
6 Zr 0.5476 0.0000 0.0573
7 Zr 0.5476 0.5000 0.5573
8 Zr 0.1036 0.0000 0.2839
9 Nb 0.2760 0.0000 0.6511
10 Nb 0.2760 0.5000 0.1511
11 Nb 0.8329 0.5000 0.3824
12 Nb 0.8329 0.0000 0.8824

***

(y)
A relaxed structure of ZrNbB, computed with GGA-PBE.

symmetry: C2/m, No. 12
size of the total moment: 0.000 μB per atom

a b c (Å): 7.5150 3.2387 10.8602
angles (deg): 90.00 133.39 90.00
Positions (direct):
1 B 0.0319 0.5000 0.0936
2 B 0.9681 0.5000 0.9064
3 B 0.9681 0.0000 0.4064
4 B 0.0319 0.0000 0.5936
5 Zr 0.2331 0.5000 0.8327
6 Zr 0.7669 0.0000 0.6673
7 Zr 0.7669 0.5000 0.1673
8 Zr 0.2331 0.0000 0.3327
9 Nb 0.2659 0.0000 0.0856
10 Nb 0.7341 0.5000 0.4144
11 Nb 0.7341 0.0000 0.9144
12 Nb 0.2659 0.5000 0.5856

***

(z)
A relaxed structure of ZrNbB, computed with GGA-PBE.

symmetry: P1, No. 1
size of the total moment: 0.000 μB per atom

a b c (Å): 3.1815 4.8519 6.2170
angles (deg): 80.64 78.71 89.44
Positions (direct):
1 B 0.4076 0.7546 0.9278
2 B 0.9210 0.9472 0.8692
3 Zr 0.3316 0.1992 0.0899
4 Zr 0.7873 0.6593 0.2627
5 Nb 0.5280 0.0585 0.5732
6 Nb 0.9898 0.5055 0.7259

***

Q: Which of them is the least stable? A: (w).

***

(w)
A relaxed structure of NdNi4B, computed with GGA-PBE.

symmetry: Pmma, No. 51
size of the total moment: 0.000 μB per atom

a b c (Å): 3.4455 6.4825 6.9923
angles (deg): 90.00 90.00 90.00
Positions (direct):
1 Ni 0.0000 0.0000 0.0000
2 Ni 0.5000 0.0453 0.2500
3 Ni 0.5000 0.2716 0.5728
4 Ni 0.5000 0.7284 0.4272
5 Ni 0.5000 0.2716 0.9272
6 Ni 0.5000 0.9547 0.7500
7 Ni 0.5000 0.7284 0.0728
8 Ni 0.0000 0.0000 0.5000
9 Nd 0.0000 0.3979 0.2500
10 Nd 0.0000 0.6021 0.7500
11 B 0.0000 0.1637 0.7500
12 B 0.0000 0.8363 0.2500

***

(x)
A relaxed structure of NdNi4B, computed with GGA-PBE.

symmetry: P6/mmm, No. 191
size of the total moment: 0.000 μB per atom

a b c (Å): 5.0627 5.0627 6.9942
angles (deg): 90.00 90.00 120.00
Positions (direct):
1 Ni 0.5000 0.0000 0.2938
2 Ni 0.3333 0.6667 0.0000
3 Ni 0.5000 0.5000 0.7062
4 Ni 0.6667 0.3333 0.0000
5 Ni 0.0000 0.5000 0.2938
6 Ni 0.0000 0.5000 0.7062
7 Ni 0.5000 0.0000 0.7062
8 Ni 0.5000 0.5000 0.2938
9 B 0.3333 0.6667 0.5000
10 B 0.6667 0.3333 0.5000
11 Nd 0.0000 0.0000 0.0000
12 Nd 0.0000 0.0000 0.5000

***

Q: Which of them is the least stable? A: (w).